# 1
# La2PrInN, relaxed, DFT PBE
data_La2PrInN
_chemical_formula_sum 'La2 Pr1 In1 N1'
_cell_length_a 5.111
_cell_length_b 5.111
_cell_length_c 5.145
_cell_angle_alpha 90.00
_cell_angle_beta 90.00
_cell_angle_gamma 90.00
_space_group_name_H-M_alt 'P 4/m m m'
_space_group_IT_number 123
_space_group_name_Hall '-P 4 2'
loop_
_atom_site_label
_atom_site_fract_x
_atom_site_fract_y
_atom_site_fract_z
La1 0.000 0.500 0.000
Pr1 0.000 0.000 0.500
In1 0.500 0.500 0.500
N1 0.000 0.000 0.000
# - Total energy: -6.003 eV per atom
# - Formation energy without anion corrections: -4.32 eV per formula unit
# - Total moment: 0.000 μB per atom

***

# 2
# AgCl4, relaxed, DFT PBE
data_AgCl4
_chemical_formula_sum 'Ag2 Cl8'
_cell_length_a 6.237
_cell_length_b 6.237
_cell_length_c 6.237
_cell_angle_alpha 90.00
_cell_angle_beta 90.00
_cell_angle_gamma 90.00
_space_group_name_H-M_alt 'I m -3 m'
_space_group_IT_number 229
_space_group_name_Hall '-I 4 2 3'
loop_
_atom_site_label
_atom_site_fract_x
_atom_site_fract_y
_atom_site_fract_z
Ag1 0.000 0.000 0.000
Cl1 0.250 0.250 0.250
# - Energy above the most stable polymorph in this dataset: 158 kJ/mol of formula units
# - Total energy: -1.802 eV per atom
# - Formation energy without anion corrections: 1.23 eV per formula unit
# - Total moment: 0.000 μB per atom

***

# 3
# Cr4Re, relaxed, DFT PBE
data_Cr4Re
_chemical_formula_sum 'Cr8 Re2'
_cell_length_a 6.508
_cell_length_b 6.508
_cell_length_c 2.913
_cell_angle_alpha 90.00
_cell_angle_beta 90.00
_cell_angle_gamma 90.00
_space_group_name_H-M_alt 'I 4/m'
_space_group_IT_number 87
_space_group_name_Hall '-I 4'
loop_
_atom_site_label
_atom_site_fract_x
_atom_site_fract_y
_atom_site_fract_z
Cr1 0.102 0.693 0.000
Re1 0.000 0.000 0.500
# - Energy above the most stable polymorph in this dataset: 0 kJ/mol of formula units
# - Energy of formation from the pure elements: 0.021 eV per formula unit
# - Total energy: -10.184 eV per atom
# - Total moment: 0.000 μB per atom

***

# 4
# InTcHg2, relaxed, DFT PBE
data_InTcHg2
_chemical_formula_sum 'In2 Tc2 Hg4'
_cell_length_a 3.224
_cell_length_b 5.135
_cell_length_c 10.426
_cell_angle_alpha 90.00
_cell_angle_beta 90.00
_cell_angle_gamma 90.00
_space_group_name_H-M_alt 'C m m m'
_space_group_IT_number 65
_space_group_name_Hall '-C 2 2'
loop_
_atom_site_label
_atom_site_fract_x
_atom_site_fract_y
_atom_site_fract_z
In1 0.000 0.000 0.000
Tc1 0.000 0.000 0.500
Hg1 0.000 0.500 0.277
# - Energy of formation from the pure elements: 2.234 eV per formula unit
# - Total energy: -2.869 eV per atom
# - Total moment: 0.342 μB per atom

***

# 5
# CaAcGeN3, relaxed, DFT PBE
data_CaAcGeN3
_chemical_formula_sum 'Ca4 Ac4 Ge4 N12'
_cell_length_a 13.154
_cell_length_b 4.106
_cell_length_c 7.283
_cell_angle_alpha 90.00
_cell_angle_beta 106.72
_cell_angle_gamma 90.00
_space_group_name_H-M_alt 'C 1 2/m 1'
_space_group_IT_number 12
_space_group_name_Hall '-C 2y'
loop_
_atom_site_label
_atom_site_fract_x
_atom_site_fract_y
_atom_site_fract_z
Ca1 0.147 0.000 0.070
Ac1 0.150 0.000 0.584
Ge1 0.001 0.500 0.770
N1 0.001 0.000 0.240
N2 0.151 0.500 0.318
N3 0.152 0.500 0.831
# - Total energy: -6.492 eV per atom
# - Formation energy without anion corrections: -3.25 eV per formula unit
# - Total moment: 0.000 μB per atom

***

# 6
# Pr3Er5, relaxed, DFT PBE
data_Pr3Er5
_chemical_formula_sum 'Pr3 Er5'
_cell_length_a 3.590
_cell_length_b 3.590
_cell_length_c 20.251
_cell_angle_alpha 90.00
_cell_angle_beta 90.00
_cell_angle_gamma 90.00
_space_group_name_H-M_alt 'P 4/m m m'
_space_group_IT_number 123
_space_group_name_Hall '-P 4 2'
loop_
_atom_site_label
_atom_site_fract_x
_atom_site_fract_y
_atom_site_fract_z
Pr1 0.000 0.000 0.000
Pr2 0.500 0.500 0.374
Er1 0.000 0.000 0.247
Er2 0.000 0.000 0.500
Er3 0.500 0.500 0.126
# - Energy above the most stable polymorph in this dataset: 3 kJ/mol of formula units
# - Energy of formation from the pure elements: 0.215 eV per formula unit
# - Total energy: -4.617 eV per atom
# - Total moment: 0.000 μB per atom